No. 1
First-principles (PBE) data for a geometry-optimized CoAs2Os structure, as listed in Alexandria via LeMat-Bulk.

Lattice parameters (Å, degrees): 2.8387 4.8416 9.7337 90.00 90.00 90.00
Closest atoms and distances in Å follow each position.
Atoms (fractional coordinates):
Co1 0.0000 0.0000 0.0000  2 As 2.40, 2 Os 2.55
Co2 0.5000 0.5000 0.0000  2 As 2.40, 2 Os 2.55
As1 0.0000 0.0000 0.5661  2 Os 2.54, 6 As 2.81-2.84
As2 0.0000 0.5000 0.1993  2 Co 2.40
As3 0.5000 0.0000 0.1993  2 Co 2.40
As4 0.5000 0.5000 0.5661  2 Os 2.54, 6 As 2.81-2.84
Os1 0.0000 0.5000 0.7828  2 As 2.54, 2 Co 2.55, 6 Os 2.81-2.84
Os2 0.5000 0.0000 0.7828  2 As 2.54, 2 Co 2.55, 6 Os 2.81-2.84

Size of the total moment   3.1 Bohr magnetons per cell
Calculated volume   16.7 Å³ per atom
Energy of formation from the pure elements   9.34 kcal/mol of atoms


No. 2
First-principles (PBE) data for a geometry-optimized CoPRh structure, as listed in Alexandria via LeMat-Bulk.

Lattice parameters (Å, degrees): 2.8615 3.7258 7.1342 90.00 90.00 90.00
Closest atoms and distances in Å follow each position.
Atoms (fractional coordinates):
Co1 0.0000 0.0000 0.0000  1 P 2.26, 1 Rh 2.50
Co2 0.5000 0.5000 0.5000  1 P 2.26, 1 Rh 2.50
P1 0.0000 0.0000 0.6834  1 Co 2.26, 1 Rh 2.37
P2 0.5000 0.5000 0.1834  1 Co 2.26, 1 Rh 2.37
Rh1 0.0000 0.0000 0.3506  5 P 2.37-2.63, 5 Co 2.50-2.58
Rh2 0.5000 0.5000 0.8506  5 P 2.37-2.63, 5 Co 2.50-2.58

Size of the total moment   3.6 Bohr magnetons per cell
Calculated volume   12.7 Å³ per atom
Energy of formation from the pure elements   -1.65 kcal/mol of atoms


No. 3
First-principles (PBE) data for a geometry-optimized TeMo2Br structure, as listed in Alexandria via LeMat-Bulk.

Lattice parameters (Å, degrees): 3.1473 3.1473 8.8663 90.00 90.00 90.00
Closest atoms and distances in Å follow each position.
Atoms (fractional coordinates):
Te1 0.0000 0.0000 0.0000  4 Mo 2.80
Mo1 0.0000 0.0000 0.6126  8 Mo 2.82-3.15, 4 Br 2.83
Mo2 0.5000 0.5000 0.8077  4 Te 2.80, 4 Mo 2.82
Br1 0.5000 0.5000 0.4146  4 Mo 2.83, 4 Br 3.15

Size of the total moment   0.0 Bohr magnetons per cell
Raw formation energy   0.187 eV/atom
Calculated volume   22.0 Å³ per atom


No. 4
First-principles (PBE) data for a geometry-optimized SiAgPt2 structure, as listed in Alexandria via LeMat-Bulk.

Lattice parameters (Å, degrees): 2.9543 2.9543 25.1019 90.00 90.00 120.00
Closest atoms and distances in Å follow each position.
Atoms (fractional coordinates):
Si1 0.0000 0.0000 0.0000  6 Pt 2.46
Si2 0.3333 0.6667 0.6667  6 Pt 2.46
Si3 0.6667 0.3333 0.3333  6 Pt 2.46
Ag1 0.0000 0.0000 0.5000  6 Pt 2.95, 6 Ag 2.95
Ag2 0.3333 0.6667 0.1667  6 Pt 2.95, 6 Ag 2.95
Ag3 0.6667 0.3333 0.8333  6 Pt 2.95, 6 Ag 2.95
Pt1 0.0000 0.0000 0.2626  3 Si 2.46
Pt2 0.0000 0.0000 0.7373  3 Si 2.46
Pt3 0.3333 0.6667 0.4040  3 Si 2.46
Pt4 0.3333 0.6667 0.9293  3 Si 2.46
Pt5 0.6667 0.3333 0.0707  3 Si 2.46
Pt6 0.6667 0.3333 0.5960  3 Si 2.46

Size of the total moment   0.0 Bohr magnetons per cell
Raw formation energy   -0.313 eV/atom
Calculated volume   15.8 Å³ per atom


No. 5
First-principles (PBE) data for a geometry-optimized YCr4Ag structure, as listed in Alexandria via LeMat-Bulk.

Lattice parameters (Å, degrees): 5.0607 5.0607 5.0607 60.00 60.00 60.00
Closest atoms and distances in Å follow each position.
Atoms (fractional coordinates):
Y1 0.0000 0.0000 0.0000  12 Cr 2.96, 4 Ag 3.10
Cr1 0.3740 0.3740 0.3740  6 Cr 2.51-2.55
Cr2 0.3740 0.3740 0.8781  6 Cr 2.51-2.55
Cr3 0.3740 0.8781 0.3740  6 Cr 2.51-2.55
Cr4 0.8781 0.3740 0.3740  6 Cr 2.51-2.55
Ag1 0.7500 0.7500 0.7500  12 Cr 2.97, 4 Y 3.10

Size of the total moment   0.0 Bohr magnetons per cell
Calculated volume   15.3 Å³ per atom
Energy of formation from the pure elements   10.68 kcal/mol of atoms


No. 6
First-principles (PBE) data for a geometry-optimized IrOsRu2 structure, as listed in Alexandria via LeMat-Bulk.

Lattice parameters (Å, degrees): 9.0155 2.7107 4.7068 90.00 100.02 90.00
Closest atoms and distances in Å follow each position.
Atoms (fractional coordinates):
Ir1 0.0000 0.0000 0.0000  2 Ir 2.71, 3 Os 2.71-2.73, 7 Ru 2.71-2.73
Ir2 0.5000 0.5000 0.0000  2 Ir 2.71, 3 Os 2.71-2.73, 7 Ru 2.71-2.73
Os1 0.2507 0.0000 0.7491  7 Ru 2.70-2.73, 2 Os 2.71, 3 Ir 2.71-2.73
Os2 0.7507 0.5000 0.7491  7 Ru 2.70-2.73, 2 Os 2.71, 3 Ir 2.71-2.73
Ru1 0.0020 0.5000 0.5008  3 Os 2.71-2.72, 5 Ru 2.71, 4 Ir 2.72
Ru2 0.2517 0.5000 0.2536  4 Os 2.70-2.73, 5 Ru 2.71, 3 Ir 2.71-2.73
Ru3 0.5020 0.0000 0.5008  3 Os 2.71-2.72, 5 Ru 2.71, 4 Ir 2.72
Ru4 0.7517 0.0000 0.2536  4 Os 2.70-2.73, 5 Ru 2.71, 3 Ir 2.71-2.73

Size of the total moment   0.0 Bohr magnetons per cell
Calculated volume   14.2 Å³ per atom
Energy of formation from the pure elements   0.92 kcal/mol of atoms


No. 7
First-principles (PBE) data for a geometry-optimized KScIn structure, as listed in Alexandria via LeMat-Bulk.

Lattice parameters (Å, degrees): 3.5248 3.5248 8.8038 90.00 90.00 120.00
Closest atoms and distances in Å follow each position.
Atoms (fractional coordinates):
K1 0.0000 0.0000 0.0000  6 K 3.52, 3 In 3.65
Sc1 0.3333 0.6667 0.3919  3 In 3.09
In1 0.6667 0.3333 0.6558  3 Sc 3.09

Size of the total moment   0.4 Bohr magnetons per cell
Calculated volume   31.6 Å³ per atom
Energy of formation from the pure elements   4.37 kcal/mol of atoms


No. 8
First-principles (PBE) data for a geometry-optimized BPtSeBr2 structure, as listed in Alexandria via LeMat-Bulk.

Lattice parameters (Å, degrees): 4.3902 4.3902 4.9490 90.00 90.00 90.00
Closest atoms and distances in Å follow each position.
Atoms (fractional coordinates):
B1 0.0000 0.0000 0.0000  4 Br 2.20
Pt1 0.5000 0.5000 0.5000  4 Se 3.10, 8 Br 3.31
Se1 0.0000 0.0000 0.5000  2 B 2.47
Br1 0.0000 0.5000 0.0000  2 B 2.20
Br2 0.5000 0.0000 0.0000  2 B 2.20

Size of the total moment   0.0 Bohr magnetons per cell
Raw formation energy   1.049 eV/atom
Calculated volume   19.1 Å³ per atom


No. 9
First-principles (PBE) data for a geometry-optimized Cs3Au2IBr9 structure, as listed in Alexandria via LeMat-Bulk.

Lattice parameters (Å, degrees): 7.9602 7.9602 9.8132 90.00 90.00 120.00
Closest atoms and distances in Å follow each position.
Atoms (fractional coordinates):
Cs1 0.0000 0.0000 0.0000  12 Br 3.95-3.98
Cs2 0.3333 0.6667 0.6736  12 Br 3.94-4.12
Cs3 0.6667 0.3333 0.3264  12 Br 3.94-4.12
Au1 0.3333 0.6667 0.1564  6 Br 2.66-2.76
Au2 0.6667 0.3333 0.8436  6 Br 2.66-2.76
I1 0.0000 0.0000 0.5000  6 Br 3.04
Br1 0.0000 0.5000 0.0000  2 Au 2.76
Br2 0.1772 0.3543 0.3161  1 Au 2.66
Br3 0.1772 0.8228 0.3161  1 Au 2.66
Br4 0.3543 0.1772 0.6839  1 Au 2.66
Br5 0.5000 0.0000 0.0000  2 Au 2.76
Br6 0.5000 0.5000 0.0000  2 Au 2.76
Br7 0.6457 0.8228 0.3161  1 Au 2.66
Br8 0.8228 0.1772 0.6839  1 Au 2.66
Br9 0.8228 0.6457 0.6839  1 Au 2.66

Size of the total moment   0.0 Bohr magnetons per cell
Raw formation energy   -0.795 eV/atom
Calculated volume   35.9 Å³ per atom


No. 10
First-principles (PBE) data for a geometry-optimized BC3 structure, as listed in Alexandria via LeMat-Bulk.

Lattice parameters (Å, degrees): 6.8270 6.8270 4.5724 109.05 109.05 21.83
Closest atoms and distances in Å follow each position.
Atoms (fractional coordinates):
B1 0.0000 0.0000 0.0000  4 C 1.63-1.67
B2 0.6393 0.6393 0.9930  3 C 1.53-1.60
B3 0.8052 0.8052 0.1636  3 C 1.57-1.58
C1 0.1303 0.1303 0.1612  3 B 1.53-1.65, 1 C 1.54
C2 0.1634 0.1634 0.5167  4 C 1.54-1.59
C3 0.2890 0.2890 0.6441  4 C 1.56-1.59
C4 0.3316 0.3316 0.0056  2 C 1.51-1.56, 2 B 1.58
C5 0.4508 0.4508 0.1389  2 C 1.51-1.56, 2 B 1.67
C6 0.4944 0.4944 0.4998  4 C 1.56-1.58
C7 0.6195 0.6195 0.6276  3 C 1.57-1.58, 1 B 1.60
C8 0.8296 0.8296 0.5251  3 C 1.57, 1 B 1.57
C9 0.9537 0.9537 0.6225  3 C 1.57-1.58, 1 B 1.63

Size of the total moment   0.0 Bohr magnetons per cell
Calculated volume   6.2 Å³ per atom
Energy of formation from the pure elements   6.28 kcal/mol of atoms


No. 11
First-principles (PBE) data for a geometry-optimized Sc2AgW structure, as listed in Alexandria via LeMat-Bulk.

Lattice parameters (Å, degrees): 3.0401 4.9474 10.5004 90.00 90.00 90.00
Closest atoms and distances in Å follow each position.
Atoms (fractional coordinates):
Sc1 0.0000 0.0000 0.0000  2 W 2.90, 4 Ag 2.93, 2 Sc 3.04
Sc2 0.0000 0.5000 0.2081  4 W 2.92, 2 Ag 3.01, 2 Sc 3.04
Sc3 0.5000 0.0000 0.7081  4 W 2.92, 2 Ag 3.01, 2 Sc 3.04
Sc4 0.5000 0.5000 0.5000  2 W 2.90, 4 Ag 2.93, 2 Sc 3.04
Ag1 0.0000 0.0000 0.4606  2 W 2.81, 6 Sc 2.93-3.01, 2 Ag 3.04
Ag2 0.5000 0.5000 0.9606  2 W 2.81, 6 Sc 2.93-3.01, 2 Ag 3.04
W1 0.0000 0.5000 0.7354  2 Ag 2.81, 6 Sc 2.90-2.92, 2 W 3.04
W2 0.5000 0.0000 0.2354  2 Ag 2.81, 6 Sc 2.90-2.92, 2 W 3.04

Size of the total moment   0.0 Bohr magnetons per cell
Calculated volume   19.7 Å³ per atom
Energy of formation from the pure elements   4.82 kcal/mol of atoms


No. 12
First-principles (PBE) data for a geometry-optimized LiLaFe2 structure, as listed in Alexandria via LeMat-Bulk.

Lattice parameters (Å, degrees): 2.9857 2.9857 28.8779 90.00 90.00 120.00
Closest atoms and distances in Å follow each position.
Atoms (fractional coordinates):
Li1 0.0000 0.0000 0.0000  3 Fe 2.75, 6 Li 2.99
Li2 0.3333 0.6667 0.6667  3 Fe 2.75, 6 Li 2.99
Li3 0.6667 0.3333 0.3333  3 Fe 2.75, 6 Li 2.99
La1 0.0000 0.0000 0.2250  6 La 2.99, 3 Fe 3.10
La2 0.3333 0.6667 0.8917  6 La 2.99, 3 Fe 3.10
La3 0.6667 0.3333 0.5584  6 La 2.99, 3 Fe 3.10
Fe1 0.0000 0.0000 0.4690  3 Fe 2.47
Fe2 0.0000 0.0000 0.7410  3 Fe 2.47, 3 Li 2.75
Fe3 0.3333 0.6667 0.1357  3 Fe 2.47
Fe4 0.3333 0.6667 0.4077  3 Fe 2.47, 3 Li 2.75
Fe5 0.6667 0.3333 0.0743  3 Fe 2.47, 3 Li 2.75
Fe6 0.6667 0.3333 0.8024  3 Fe 2.47

Size of the total moment   0.9 Bohr magnetons per cell
Calculated volume   18.6 Å³ per atom
Energy of formation from the pure elements   15.63 kcal/mol of atoms


No. 13
First-principles (PBE) data for a geometry-optimized SrPuCd2 structure, as listed in Alexandria via LeMat-Bulk.

Lattice parameters (Å, degrees): 3.8406 3.8406 8.1034 90.00 90.00 90.00
Closest atoms and distances in Å follow each position.
Atoms (fractional coordinates):
Sr1 0.0000 0.0000 0.0000  8 Cd 3.48, 4 Sr 3.84
Pu1 0.0000 0.0000 0.5000  8 Cd 3.30
Cd1 0.5000 0.5000 0.2684  4 Pu 3.30, 4 Sr 3.48
Cd2 0.5000 0.5000 0.7316  4 Pu 3.30, 4 Sr 3.48

Size of the total moment   6.0 Bohr magnetons per cell
Calculated volume   29.9 Å³ per atom
Energy of formation from the pure elements   -2.53 kcal/mol of atoms